# 1
Compound: Pm6Y8Tm
Source: Alexandria via LeMat-Bulk
Functional: PBE-GGA
Structure: optimized geometry

CIF file:
```
data_Pm6Y8Tm
_space_group_name_H-M_alt 'P 1'
_space_group_IT_number 1
_cell_length_a 8.219
_cell_length_b 8.219
_cell_length_c 8.219
_cell_angle_alpha 73.17
_cell_angle_beta 73.17
_cell_angle_gamma 73.17
loop_
_space_group_symop_operation_xyz
'x,y,z'
loop_
_atom_site_label
_atom_site_fract_x
_atom_site_fract_y
_atom_site_fract_z
Pm1 0.112 0.781 0.577
Pm2 0.219 0.423 0.888
Pm3 0.423 0.888 0.219
Pm4 0.577 0.112 0.781
Pm5 0.781 0.577 0.112
Pm6 0.888 0.219 0.423
Y1 0.085 0.085 0.085
Y2 0.146 0.575 0.269
Y3 0.269 0.146 0.575
Y4 0.425 0.731 0.854
Y5 0.575 0.269 0.146
Y6 0.731 0.854 0.425
Y7 0.854 0.425 0.731
Y8 0.915 0.915 0.915
Tm1 0.500 0.500 0.500
```

Properties
* energy above the most stable polymorph in this dataset: 0.12 eV per formula unit

=====

# 2
Compound: Pm3Y4Tm
Source: Alexandria via LeMat-Bulk
Functional: PBE-GGA
Structure: optimized geometry

CIF file:
```
data_Pm3Y4Tm
_space_group_name_H-M_alt 'P 1'
_space_group_IT_number 1
_cell_length_a 11.617
_cell_length_b 6.238
_cell_length_c 7.217
_cell_angle_alpha 90.00
_cell_angle_beta 90.00
_cell_angle_gamma 90.00
loop_
_space_group_symop_operation_xyz
'x,y,z'
loop_
_atom_site_label
_atom_site_fract_x
_atom_site_fract_y
_atom_site_fract_z
Pm1 0.000 0.167 0.000
Pm2 0.250 0.500 0.001
Pm3 0.250 0.500 0.501
Pm4 0.500 0.833 0.500
Pm5 0.750 0.500 0.001
Pm6 0.750 0.500 0.501
Y1 0.000 0.168 0.502
Y2 0.000 0.667 0.252
Y3 0.249 0.999 0.751
Y4 0.251 0.001 0.251
Y5 0.500 0.333 0.752
Y6 0.500 0.832 0.002
Y7 0.749 0.001 0.251
Y8 0.751 0.999 0.751
Tm1 0.000 0.666 0.750
Tm2 0.500 0.334 0.250
```

Properties
* energy above the most stable polymorph in this dataset: 0.00 eV per formula unit

=====

# 3
Compound: PmYTm4
Source: Alexandria via LeMat-Bulk
Functional: PBE-GGA
Structure: optimized geometry

CIF file:
```
data_PmYTm4
_space_group_name_H-M_alt 'P 1'
_space_group_IT_number 1
_cell_length_a 3.533
_cell_length_b 4.982
_cell_length_c 10.581
_cell_angle_alpha 90.00
_cell_angle_beta 90.29
_cell_angle_gamma 90.00
loop_
_space_group_symop_operation_xyz
'x,y,z'
loop_
_atom_site_label
_atom_site_fract_x
_atom_site_fract_y
_atom_site_fract_z
Pm1 0.000 0.000 0.000
Y1 0.500 0.500 0.500
Tm1 0.001 0.000 0.667
Tm2 0.500 0.500 0.169
Tm3 0.500 0.500 0.831
Tm4 0.999 0.000 0.333
```

Properties
* energy above the most stable polymorph in this dataset: 0.00 eV per formula unit

=====

# 4
Compound: Pm6Y2Tm
Source: Alexandria via LeMat-Bulk
Functional: PBE-GGA
Structure: optimized geometry

CIF file:
```
data_Pm6Y2Tm
_space_group_name_H-M_alt 'P 1'
_space_group_IT_number 1
_cell_length_a 9.982
_cell_length_b 9.982
_cell_length_c 3.669
_cell_angle_alpha 90.00
_cell_angle_beta 90.00
_cell_angle_gamma 123.94
loop_
_space_group_symop_operation_xyz
'x,y,z'
loop_
_atom_site_label
_atom_site_fract_x
_atom_site_fract_y
_atom_site_fract_z
Pm1 0.011 0.340 0.000
Pm2 0.186 0.186 0.500
Pm3 0.340 0.011 0.000
Pm4 0.660 0.989 0.000
Pm5 0.814 0.814 0.500
Pm6 0.989 0.660 0.000
Y1 0.324 0.676 0.500
Y2 0.676 0.324 0.500
Tm1 0.500 0.500 0.000
```

Properties
* energy above the most stable polymorph in this dataset: 0.00 eV per formula unit

=====

# 5
Compound: Pm2YTm2
Source: Alexandria via LeMat-Bulk
Functional: PBE-GGA
Structure: optimized geometry

CIF file:
```
data_Pm2YTm2
_space_group_name_H-M_alt 'P 1'
_space_group_IT_number 1
_cell_length_a 9.446
_cell_length_b 9.446
_cell_length_c 3.668
_cell_angle_alpha 90.00
_cell_angle_beta 90.00
_cell_angle_gamma 90.00
loop_
_space_group_symop_operation_xyz
'x,y,z'
loop_
_atom_site_label
_atom_site_fract_x
_atom_site_fract_y
_atom_site_fract_z
Pm1 0.174 0.326 0.000
Pm2 0.326 0.826 0.000
Pm3 0.674 0.174 0.000
Pm4 0.826 0.674 0.000
Y1 0.000 0.000 0.500
Y2 0.500 0.500 0.500
Tm1 0.124 0.624 0.500
Tm2 0.376 0.124 0.500
Tm3 0.624 0.876 0.500
Tm4 0.876 0.376 0.500
```

Properties
* energy above the most stable polymorph in this dataset: 0.28 eV per formula unit

=====

# 6
Compound: PmY7Tm12
Source: Alexandria via LeMat-Bulk
Functional: PBE-GGA
Structure: optimized geometry

CIF file:
```
data_PmY7Tm12
_space_group_name_H-M_alt 'P 1'
_space_group_IT_number 1
_cell_length_a 9.651
_cell_length_b 9.651
_cell_length_c 9.651
_cell_angle_alpha 109.47
_cell_angle_beta 109.47
_cell_angle_gamma 109.47
loop_
_space_group_symop_operation_xyz
'x,y,z'
loop_
_atom_site_label
_atom_site_fract_x
_atom_site_fract_y
_atom_site_fract_z
Pm1 0.000 0.000 0.000
Y1 0.000 0.000 0.500
Y2 0.000 0.500 0.000
Y3 0.000 0.500 0.500
Y4 0.500 0.000 0.000
Y5 0.500 0.000 0.500
Y6 0.500 0.500 0.000
Y7 0.500 0.500 0.500
Tm1 0.000 0.254 0.746
Tm2 0.000 0.746 0.254
Tm3 0.254 0.000 0.746
Tm4 0.254 0.254 0.508
Tm5 0.254 0.508 0.254
Tm6 0.254 0.746 0.000
Tm7 0.492 0.746 0.746
Tm8 0.508 0.254 0.254
Tm9 0.746 0.000 0.254
Tm10 0.746 0.254 0.000
Tm11 0.746 0.492 0.746
Tm12 0.746 0.746 0.492
```

Properties
* energy above the most stable polymorph in this dataset: 9.92 eV per formula unit

=====

Across the entries above, ΔH_f (0 K) takes the values 176, 2, 26, 126, 81, 749 meV per atom, respectively.
Across the entries above, total magnetic moment takes the values 0.00, 0.00, 0.00, 0.00, 0.00, 0.00 μB per formula unit, respectively.